# B5C3

B5C3 after structural relaxation (PBE-GGA, Alexandria via LeMat-Bulk).

The density of states at the Fermi level comes out at 2.02 states/eV/cell. The energy relative to the elements is 0.457 eV/atom. The relative energy among the computed polymorphs comes out at 188 meV/atom.

Cell lengths 2.7046, 3.8501, 5.4628 Å; angles 90.00, 90.00, 90.00 degrees
Atoms (fractional coordinates):
C 0.5000 0.7641 0.4922
C 0.0000 0.2713 0.7500
C 0.5000 0.7641 0.0078
B 0.5000 0.5463 0.2500
B 0.5000 0.5049 0.7500
B 0.0000 0.9593 0.5501
B 0.0000 0.9593 0.9499
B 0.0000 0.2307 0.2500

# BaNaSmSe3

BaNaSmSe3 after structural relaxation (PBE-GGA, Alexandria via LeMat-Bulk).

The density of states at the Fermi level comes out at 0.00 states/eV/cell. Its formation energy from raw total energies is -1682 meV/atom.

Cell lengths 4.4209, 8.9926, 9.6226 Å; angles 105.64, 90.00, 90.00 degrees
Atoms (fractional coordinates):
Se 0.7500 0.8874 0.1242
Se 0.2500 0.7554 0.4795
Se 0.2500 0.5481 0.8417
Se 0.2500 0.1126 0.8758
Se 0.7500 0.2446 0.5205
Se 0.7500 0.4519 0.1583
Ba 0.7500 0.7906 0.7594
Ba 0.2500 0.2094 0.2406
Sm 0.7500 0.3265 0.8428
Sm 0.2500 0.6735 0.1572
Na 0.2500 0.0898 0.5856
Na 0.7500 0.9102 0.4144

# FePd3S

FePd3S after structural relaxation (PBE-GGA, Alexandria via LeMat-Bulk).

The density of states at the Fermi level comes out at 7.14 states/eV/cell. Its formation energy from raw total energies is 263 meV/atom. The relative energy among the computed polymorphs comes out at 0 meV/atom.

Cell lengths 4.4619, 4.4619, 4.4619 Å; angles 90.00, 90.00, 90.00 degrees
Atoms (fractional coordinates):
Fe 0.5000 0.5000 0.5000
S 0.0000 0.0000 0.0000
Pd 0.5000 0.0000 0.0000
Pd 0.0000 0.0000 0.5000
Pd 0.0000 0.5000 0.0000

# TbErTm4

TbErTm4 after structural relaxation (PBE-GGA, Alexandria via LeMat-Bulk).

The density of states at the Fermi level comes out at 20.26 states/eV/cell. The energy relative to the elements is 0.155 eV/atom. The relative energy among the computed polymorphs comes out at 73 meV/atom.

Cell lengths 6.3448, 8.8429, 8.4224 Å; angles 112.36, 100.09, 112.57 degrees
Atoms (fractional coordinates):
Tm 0.7446 0.7104 0.6092
Tm 0.9558 0.8349 0.2602
Tm 0.1956 0.5747 0.7398
Tm 0.0442 0.1651 0.7398
Tm 0.6354 0.1012 0.3908
Tm 0.8044 0.4253 0.2602
Tm 0.2554 0.2896 0.3908
Tm 0.3646 0.8988 0.6092
Er 0.2493 0.9993 0.9986
Er 0.7507 0.0007 0.0014
Tb 0.6638 0.4138 0.8277
Tb 0.3362 0.5862 0.1723

# Nd3Mg2Pd6

Nd3Mg2Pd6 after structural relaxation (PBE-GGA, Alexandria via LeMat-Bulk).

The density of states at the Fermi level comes out at 12.24 states/eV/cell. The energy relative to the elements is -0.747 eV/atom.

Cell lengths 8.4538, 8.4538, 8.4538 Å; angles 109.47, 109.47, 109.47 degrees
Atoms (fractional coordinates):
Nd 0.6992 0.6992 0.0000
Nd 0.3008 0.0000 0.3008
Nd 0.0000 0.3008 0.3008
Nd 0.6992 0.0000 0.6992
Nd 0.3008 0.3008 0.0000
Nd 0.0000 0.6992 0.6992
Mg 0.0000 0.0000 0.5000
Mg 0.0000 0.5000 0.0000
Mg 0.5000 0.0000 0.0000
Mg 0.5000 0.5000 0.5000
Pd 0.6637 0.3363 0.0000
Pd 0.0000 0.3363 0.6637
Pd 0.3363 0.0000 0.6637
Pd 0.3363 0.3363 0.6727
Pd 0.3363 0.6727 0.3363
Pd 0.6637 0.0000 0.3363
Pd 0.6727 0.3363 0.3363
Pd 0.0000 0.6637 0.3363
Pd 0.6637 0.3273 0.6637
Pd 0.3273 0.6637 0.6637
Pd 0.3363 0.6637 0.0000
Pd 0.6637 0.6637 0.3273

# BaTmPa2O8

BaTmPa2O8 after structural relaxation (PBE-GGA, Alexandria via LeMat-Bulk).

The density of states at the Fermi level comes out at 7.27 states/eV/cell. Its formation energy from raw total energies is -3251 meV/atom.

Cell lengths 5.5645, 5.5645, 6.7423 Å; angles 114.37, 114.37, 90.00 degrees
Atoms (fractional coordinates):
O 0.6072 0.6476 0.7641
O 0.6076 0.1163 0.7643
O 0.1568 0.6480 0.7643
O 0.8834 0.3928 0.2359
O 0.3524 0.8431 0.2359
O 0.3520 0.3924 0.2357
O 0.1569 0.1166 0.7641
O 0.8837 0.8432 0.2357
Ba 0.7500 0.2500 0.5000
Tm 0.0000 0.0000 0.0000
Pa 0.2500 0.7500 0.5000
Pa 0.5000 0.5000 0.0000